{
  "formula": "TiAlAgIr",
  "functional": "PBE-GGA",
  "state": "relaxed",
  "crystal_system": "cubic",
  "space_group": "F-43m (216)",
  "e_tot_ev_per_atom": -6.319,
  "lattice": [[4.445, 0.000, 0.000], [2.222, 3.849, 0.000], [2.222, 1.283, 3.629]],
  "species": ["Ir", "Ti", "Ag", "Al"],
  "fractional_positions": [[0.250, 0.250, 0.250], [0.500, 0.500, 0.500], [0.750, 0.750, 0.750], [0.000, 0.000, 0.000]]
}